i.
DFT (GGA-PBE) results for a relaxed structure of Tb4Cu2Au.

abc: 7.904 8.013 7.818
angles: 113.62 110.37 112.18
Fractional positions:
Tb (0.881, 0.509, 0.616)
Tb (0.493, 0.819, 0.862)
Tb (0.841, 0.224, 0.841)
Tb (0.058, 0.235, 0.372)
Tb (0.762, 0.633, 0.111)
Au (0.920, 0.910, 0.898)
Cu (0.507, 0.400, 0.643)
Au (0.143, 0.652, 0.395)
Cu (0.699, 0.963, 0.354)
Tb (0.322, 0.957, 0.247)
Cu (0.273, 0.516, 0.922)
Tb (0.220, 0.086, 0.746)
Cu (0.658, 0.273, 0.144)
Tb (0.472, 0.572, 0.348)

As for the symmetry: P1. Its size of the total moment is 0.0 μB/f.u. Its density of states at the Fermi level is 7.9 states/eV/f.u. The density is 9.385 g/cm3.

***

ii.
DFT (GGA-PBE) results for a relaxed structure of Tb4Cu2Au.

abc: 4.958 4.958 8.568
angles: 73.18 73.18 60.00
Fractional positions:
Cu (0.248, 0.248, 0.256)
Cu (0.752, 0.752, 0.744)
Au (0.000, 0.000, 0.000)
Tb (0.873, 0.873, 0.382)
Tb (0.127, 0.127, 0.618)
Tb (0.378, 0.378, 0.865)
Tb (0.622, 0.622, 0.135)

As for the symmetry: R-3m. Its size of the total moment is 0.0 μB/f.u. Its density of states at the Fermi level is 5.4 states/eV/f.u. The density is 9.269 g/cm3.

***

i takes first place; second place is 2.6 kJ/mol of atoms up.

***

i.
DFT (GGA-PBE) results for a relaxed structure of TbThCuAu.

abc: 3.835 4.492 5.919
angles: 90.00 108.90 90.00
Fractional positions:
Cu (0.420, 0.000, 0.839)
Th (0.859, 0.500, 0.717)
Tb (0.144, 0.000, 0.287)
Au (0.578, 0.500, 0.157)

As for the symmetry: Amm2. Its size of the total moment is 0.0 μB/f.u. Its density of states at the Fermi level is 4.5 states/eV/f.u. The density is 11.214 g/cm3.

***

ii.
DFT (GGA-PBE) results for a relaxed structure of TbThCuAu.

abc: 5.120 5.120 5.120
angles: 60.00 60.00 60.00
Fractional positions:
Tb (0.000, 0.000, 0.000)
Th (0.500, 0.500, 0.500)
Cu (0.250, 0.250, 0.250)
Au (0.750, 0.750, 0.750)

As for the symmetry: F-43m. Its size of the total moment is 0.0 μB/f.u. Its density of states at the Fermi level is 4.0 states/eV/f.u. The density is 11.396 g/cm3.

***

i takes first place; second place is 5.6 kJ/mol of atoms up.

***

i.
DFT (GGA-PBE) results for a relaxed structure of Cu2TcAu2.

abc: 7.429 7.429 2.756
angles: 90.00 90.00 90.00
Fractional positions:
Cu (0.883, 0.617, 0.000)
Cu (0.383, 0.883, 0.000)
Tc (0.500, 0.500, 0.000)
Au (0.819, 0.319, 0.500)
Au (0.181, 0.681, 0.500)
Au (0.681, 0.819, 0.500)
Tc (0.000, 0.000, 0.000)
Cu (0.617, 0.117, 0.000)
Cu (0.117, 0.383, 0.000)
Au (0.319, 0.181, 0.500)

As for the symmetry: P4/mbm. Its size of the total moment is 0.3 μB/f.u. Its density of states at the Fermi level is 3.0 states/eV/f.u. The density is 13.517 g/cm3.

***

ii.
DFT (GGA-PBE) results for a relaxed structure of Cu2TcAu2.

abc: 3.812 3.812 6.454
angles: 72.82 72.82 90.00
Fractional positions:
Au (0.750, 0.250, 0.500)
Cu (0.596, 0.596, 0.807)
Au (0.250, 0.750, 0.500)
Tc (0.000, 0.000, 0.000)
Cu (0.404, 0.404, 0.193)

As for the symmetry: I4/mmm. Its size of the total moment is 3.5 μB/f.u. Its density of states at the Fermi level is 2.7 states/eV/f.u. The density is 12.062 g/cm3.

***

i takes first place; second place is 27.9 kJ/mol of atoms up.

***

i.
DFT (GGA-PBE) results for a relaxed structure of Cu2Te3Au.

abc: 4.256 6.892 10.240
angles: 96.73 101.99 90.00
Fractional positions:
Cu (0.714, 0.403, 0.429)
Te (0.418, 0.631, 0.836)
Te (0.745, 0.775, 0.489)
Au (0.643, 0.022, 0.286)
Au (0.357, 0.978, 0.714)
Te (0.078, 0.799, 0.156)
Cu (0.952, 0.845, 0.905)
Cu (0.048, 0.155, 0.095)
Te (0.255, 0.225, 0.511)
Cu (0.286, 0.597, 0.571)
Te (0.582, 0.369, 0.164)
Te (0.922, 0.201, 0.844)

As for the symmetry: C2/m. Its size of the total moment is 0.0 μB/f.u. Its density of states at the Fermi level is 3.9 states/eV/f.u. The density is 8.049 g/cm3.

***

ii.
DFT (GGA-PBE) results for a relaxed structure of Cu2Te3Au.

abc: 7.376 7.376 7.362
angles: 99.46 99.46 120.40
Fractional positions:
Te (0.535, 0.702, 0.875)
Cu (0.598, 0.434, 0.008)
Te (0.884, 0.402, 0.877)
Au (0.927, 0.097, 0.006)
Te (0.402, 0.884, 0.377)
Cu (0.758, 0.264, 0.510)
Au (0.097, 0.927, 0.506)
Te (0.702, 0.535, 0.375)
Cu (0.264, 0.758, 0.010)
Te (0.241, 0.055, 0.895)
Te (0.055, 0.241, 0.395)
Cu (0.434, 0.598, 0.508)

As for the symmetry: Cc. Its size of the total moment is 0.0 μB/f.u. Its density of states at the Fermi level is 4.2 states/eV/f.u. The density is 7.199 g/cm3.

***

ii takes first place; second place is 3.0 kJ/mol of atoms up.

***

i.
DFT (GGA-PBE) results for a relaxed structure of Cu2TeAu2.

abc: 7.632 7.632 3.063
angles: 90.00 90.00 90.00
Fractional positions:
Te (0.500, 0.500, 0.000)
Au (0.863, 0.637, 0.000)
Cu (0.656, 0.844, 0.500)
Au (0.137, 0.363, 0.000)
Te (0.000, 0.000, 0.000)
Au (0.637, 0.137, 0.000)
Au (0.363, 0.863, 0.000)
Cu (0.156, 0.656, 0.500)
Cu (0.344, 0.156, 0.500)
Cu (0.844, 0.344, 0.500)

As for the symmetry: P4/mbm. Its size of the total moment is 0.0 μB/f.u. Its density of states at the Fermi level is 0.8 states/eV/f.u. The density is 12.074 g/cm3.

***

ii.
DFT (GGA-PBE) results for a relaxed structure of Cu2TeAu2.

abc: 3.852 3.852 6.871
angles: 73.72 73.72 90.00
Fractional positions:
Au (0.750, 0.250, 0.500)
Cu (0.596, 0.596, 0.808)
Au (0.250, 0.750, 0.500)
Cu (0.404, 0.404, 0.192)
Te (0.000, 0.000, 0.000)

As for the symmetry: I4/mmm. Its size of the total moment is 0.0 μB/f.u. Its density of states at the Fermi level is 2.2 states/eV/f.u. The density is 11.504 g/cm3.

***

i takes first place; second place is 6.9 kJ/mol of atoms up.

***

i.
DFT (GGA-PBE) results for a relaxed structure of CuTe4Au2.

abc: 7.901 8.201 8.201
angles: 60.64 61.20 61.20
Fractional positions:
Te (0.741, 0.730, 0.788)
Au (0.500, 0.500, 0.500)
Cu (0.000, 0.500, 0.000)
Te (0.242, 0.266, 0.766)
Te (0.741, 0.288, 0.230)
Au (0.140, 0.110, 0.610)
Cu (0.500, 0.500, 0.000)
Te (0.259, 0.270, 0.212)
Te (0.259, 0.712, 0.770)
Au (0.860, 0.890, 0.390)
Te (0.275, 0.734, 0.234)
Te (0.725, 0.266, 0.766)
Te (0.758, 0.734, 0.234)
Au (0.500, 0.000, 0.000)

As for the symmetry: Imma. Its size of the total moment is 0.0 μB/f.u. Its density of states at the Fermi level is 5.2 states/eV/f.u. The density is 8.363 g/cm3.

***

ii.
DFT (GGA-PBE) results for a relaxed structure of CuTe4Au2.

abc: 5.105 5.105 8.958
angles: 73.45 73.45 90.00
Fractional positions:
Au (0.412, 0.412, 0.177)
Te (0.000, 0.500, 0.000)
Cu (0.000, 0.000, 0.000)
Te (0.748, 0.748, 0.505)
Te (0.500, 0.000, 0.000)
Te (0.252, 0.252, 0.495)
Au (0.588, 0.588, 0.823)

As for the symmetry: I4/mmm. Its size of the total moment is 0.0 μB/f.u. Its density of states at the Fermi level is 4.7 states/eV/f.u. The density is 7.523 g/cm3.

***

iii.
DFT (GGA-PBE) results for a relaxed structure of CuTe4Au2.

abc: 4.314 7.507 6.920
angles: 123.25 108.16 90.00
Fractional positions:
Au (0.255, 0.248, 0.511)
Cu (0.000, 0.000, 0.000)
Te (0.387, 0.718, 0.774)
Te (0.892, 0.236, 0.784)
Te (0.108, 0.764, 0.216)
Te (0.613, 0.282, 0.226)
Au (0.745, 0.752, 0.489)

As for the symmetry: C2/m. Its size of the total moment is 0.0 μB/f.u. Its density of states at the Fermi level is 3.6 states/eV/f.u. The density is 9.242 g/cm3.

***

iii takes first place; second place is 2.1 kJ/mol of atoms up.